[1]
# Sr2BeCu2

A relaxed structure of Sr2BeCu2 (PBE-GGA, Alexandria via LeMat-Bulk).

Cell: 7.331 7.331 4.444 Å, 90.00 90.00 90.00°
Fractional positions:
Sr 0.183 0.317 0.000
Sr 0.317 0.817 0.000
Sr 0.683 0.183 0.000
Sr 0.817 0.683 0.000
Be 0.000 0.000 0.500
Be 0.500 0.500 0.500
Cu 0.121 0.621 0.500
Cu 0.379 0.121 0.500
Cu 0.621 0.879 0.500
Cu 0.879 0.379 0.500

Results
Theoretical density (g cm⁻³): 4.33
Energy (eV for the cell shown): -28.00
Size of the total moment (μB per formula unit): 0.0
E_form (eV/atom): 0.257
DOS(E_F) (states/eV/cell): 8.2
Distance to the lowest polymorph of the same formula (kJ/mol of atoms): 0.0
Symmetry: P4/mbm, No. 127

[2]
# SrBeCu4

A relaxed structure of SrBeCu4 (PBE-GGA, Alexandria via LeMat-Bulk).

Cell: 5.094 5.094 5.094 Å, 60.00 60.00 60.00°
Fractional positions:
Sr 0.000 0.000 0.000
Be 0.750 0.750 0.750
Cu 0.377 0.377 0.377
Cu 0.377 0.377 0.869
Cu 0.377 0.869 0.377
Cu 0.869 0.377 0.377

Results
Theoretical density (g cm⁻³): 6.23
Energy (eV for the cell shown): -20.58
Size of the total moment (μB per formula unit): 0.0
E_form (eV/atom): 0.202
DOS(E_F) (states/eV/cell): 6.7
Symmetry: F-43m, No. 216

[3]
# SrBeCu

A relaxed structure of SrBeCu (PBE-GGA, Alexandria via LeMat-Bulk).

Cell: 4.039 4.039 4.601 Å, 90.00 90.00 120.00°
Fractional positions:
Sr 0.000 0.000 0.000
Be 0.667 0.333 0.500
Cu 0.333 0.667 0.500

Results
Theoretical density (g cm⁻³): 4.09
Energy (eV for the cell shown): -8.98
Size of the total moment (μB per formula unit): 0.0
E_form (eV/atom): 0.174
DOS(E_F) (states/eV/cell): 2.2
Distance to the lowest polymorph of the same formula (kJ/mol of atoms): 0.0
Symmetry: P-6m2, No. 187

[4]
# SrBeCu

A relaxed structure of SrBeCu (PBE-GGA, Alexandria via LeMat-Bulk).

Cell: 4.634 4.634 4.634 Å, 60.00 60.00 60.00°
Fractional positions:
Sr 0.000 0.000 0.000
Be 0.250 0.250 0.250
Cu 0.500 0.500 0.500

Results
Theoretical density (g cm⁻³): 3.78
Energy (eV for the cell shown): -7.72
Size of the total moment (μB per formula unit): 0.0
E_form (eV/atom): 0.594
DOS(E_F) (states/eV/cell): 2.6
Distance to the lowest polymorph of the same formula (kJ/mol of atoms): 40.6
Symmetry: F-43m, No. 216

[5]
# Sr2BeCu2

A relaxed structure of Sr2BeCu2 (PBE-GGA, Alexandria via LeMat-Bulk).

Cell: 9.508 9.508 9.508 Å, 158.15 158.15 31.09°
Fractional positions:
Sr 0.105 0.105 0.000
Sr 0.895 0.895 0.000
Be 0.500 0.500 0.000
Cu 0.250 0.750 0.500
Cu 0.750 0.250 0.500

Results
Theoretical density (g cm⁻³): 4.35
Energy (eV for the cell shown): -13.68
Size of the total moment (μB per formula unit): 0.4
E_form (eV/atom): 0.320
DOS(E_F) (states/eV/cell): 3.2
Distance to the lowest polymorph of the same formula (kJ/mol of atoms): 6.2
Symmetry: I4/mmm, No. 139

[6]
# SrBeCu

A relaxed structure of SrBeCu (PBE-GGA, Alexandria via LeMat-Bulk).

Cell: 4.667 4.667 4.667 Å, 60.00 60.00 60.00°
Fractional positions:
Sr 0.000 0.000 0.000
Be 0.500 0.500 0.500
Cu 0.750 0.750 0.750

Results
Theoretical density (g cm⁻³): 3.70
Energy (eV for the cell shown): -7.83
Size of the total moment (μB per formula unit): 0.0
E_form (eV/atom): 0.557
DOS(E_F) (states/eV/cell): 2.5
Distance to the lowest polymorph of the same formula (kJ/mol of atoms): 36.9
Symmetry: F-43m, No. 216